[1]
The following is a DFT calculation (PBE-GGA) of a relaxed Hf3Te4S2 crystal.

Space-group type: P3m1, No. 156
Calculated density (Mg/m³): 6.63
Calculated total energy (eV/f.u.): -58.48
Total magnetization (μB/f.u.): 0.000
Formation energy (no corrections) (meV/atom): -866

Lattice parameters (Å, degrees): 3.759 3.759 22.730 90.00 90.00 120.00
Fractional positions:
Hf1 0.000 0.000 0.000
Hf2 0.000 0.000 0.346
Hf3 0.667 0.333 0.686
Te1 0.000 0.000 0.602
Te2 0.000 0.000 0.769
Te3 0.667 0.333 0.262
Te4 0.667 0.333 0.430
S1 0.667 0.333 0.067
S2 0.667 0.333 0.933

***

[2]
The following is a DFT calculation (PBE-GGA) of a relaxed LiPm3Ni3 crystal.

Formation enthalpy at 0 K (eV per atom): -0.257
Space-group type: Cmcm, No. 63
Calculated density (Mg/m³): 7.17
Calculated total energy (eV/f.u.): -35.31
Total magnetization (μB/f.u.): 0.000

Lattice parameters (Å, degrees): 5.475 5.475 13.578 90.00 90.00 135.28
Fractional positions:
Li1 0.000 0.000 0.000
Li2 0.000 0.000 0.500
Pm1 0.020 0.980 0.750
Pm2 0.299 0.701 0.604
Pm3 0.299 0.701 0.896
Pm4 0.701 0.299 0.104
Pm5 0.701 0.299 0.396
Pm6 0.980 0.020 0.250
Ni1 0.274 0.726 0.250
Ni2 0.411 0.589 0.094
Ni3 0.411 0.589 0.406
Ni4 0.589 0.411 0.594
Ni5 0.589 0.411 0.906
Ni6 0.726 0.274 0.750

***

[3]
The following is a DFT calculation (PBE-GGA) of a relaxed BaTc2Ag crystal.

Formation enthalpy at 0 K (eV per atom): 1.230
Space-group type: P4/mmm, No. 123
Calculated density (Mg/m³): 8.59
Calculated total energy (eV/f.u.): -20.59
Energy relative to the lowest polymorph listed for this composition (eV per atom): 0.802
Total magnetization (μB/f.u.): 0.000

Lattice parameters (Å, degrees): 4.080 4.080 5.124 90.00 90.00 90.00
Fractional positions:
Ba1 0.000 0.000 0.000
Tc1 0.000 0.500 0.500
Tc2 0.500 0.000 0.500
Ag1 0.500 0.500 0.000

***

[4]
The following is a DFT calculation (PBE-GGA) of a relaxed NaAlTe2 crystal.

Space-group type: P4/mmm, No. 123
Calculated density (Mg/m³): 4.81
Calculated total energy (eV/f.u.): -12.20
Total magnetization (μB/f.u.): 0.000
Formation energy (no corrections) (meV/atom): -213

Lattice parameters (Å, degrees): 5.734 5.734 3.205 90.00 90.00 90.00
Fractional positions:
Na1 0.000 0.000 0.000
Al1 0.500 0.500 0.000
Te1 0.000 0.500 0.500
Te2 0.500 0.000 0.500

***

[5]
The following is a DFT calculation (PBE-GGA) of a relaxed YAsPb2 crystal.

Formation enthalpy at 0 K (eV per atom): -0.019
Space-group type: R-3m, No. 166
Calculated density (Mg/m³): 8.34
Calculated total energy (eV/f.u.): -18.61
Total magnetization (μB/f.u.): 0.000

Lattice parameters (Å, degrees): 3.969 3.969 25.332 90.00 90.00 120.00
Fractional positions:
Y1 0.000 0.000 0.000
Y2 0.333 0.667 0.667
Y3 0.667 0.333 0.333
As1 0.000 0.000 0.500
As2 0.333 0.667 0.167
As3 0.667 0.333 0.833
Pb1 0.000 0.000 0.239
Pb2 0.000 0.000 0.761
Pb3 0.333 0.667 0.428
Pb4 0.333 0.667 0.905
Pb5 0.667 0.333 0.095
Pb6 0.667 0.333 0.572

***

[6]
The following is a DFT calculation (PBE-GGA) of a relaxed Pa2CoC crystal.

Formation enthalpy at 0 K (eV per atom): -0.083
Space-group type: R3m, No. 160
Calculated density (Mg/m³): 12.59
Calculated total energy (eV/f.u.): -35.65
Energy relative to the lowest polymorph listed for this composition (eV per atom): 0.100
Total magnetization (μB/f.u.): 0.000

Lattice parameters (Å, degrees): 3.557 3.557 19.244 90.00 90.00 120.00
Fractional positions:
Pa1 0.000 0.000 0.000
Pa2 0.000 0.000 0.155
Pa3 0.333 0.667 0.667
Pa4 0.333 0.667 0.821
Pa5 0.667 0.333 0.333
Pa6 0.667 0.333 0.488
Co1 0.000 0.000 0.580
Co2 0.333 0.667 0.247
Co3 0.667 0.333 0.914
C1 0.000 0.000 0.406
C2 0.333 0.667 0.072
C3 0.667 0.333 0.739